(1)
Entry from the Alexandria database: a relaxed structure of U2IrC (GGA-PBE).

Calculated values
The total moment is 0.00 μB/f.u. As for the density of states at the Fermi level: 7.468 states/eV/f.u. The formation enthalpy at 0 K comes out at 0.111 eV/atom. The calculation puts the energy at -40.22 eV for the cell shown. As for the energy relative to the lowest polymorph listed for this composition: 19.9 kJ/mol of atoms.

abc: 3.034 3.034 8.600
angles: 79.84 79.84 60.00
Fractional positions:
C 0.500 0.500 0.500
U 0.105 0.105 0.686
Ir 0.000 0.000 0.000
U 0.895 0.895 0.314

***

(2)
Entry from the Alexandria database: a relaxed structure of U2IrC (GGA-PBE).

Calculated values
The total moment is 0.00 μB/f.u. As for the density of states at the Fermi level: 6.673 states/eV/f.u. The formation enthalpy at 0 K comes out at -0.096 eV/atom. The calculation puts the energy at -41.04 eV for the cell shown. As for the energy relative to the lowest polymorph listed for this composition: 0.0 kJ/mol of atoms.

abc: 2.955 2.955 7.145
angles: 90.00 90.00 90.00
Fractional positions:
C 0.500 0.500 0.000
U 0.000 0.000 0.201
U 0.000 0.000 0.799
Ir 0.500 0.500 0.500

***

(3)
Entry from the Alexandria database: a relaxed structure of U2IrC2 (GGA-PBE).

Calculated values
The total moment is 1.97 μB/f.u. As for the density of states at the Fermi level: 8.500 states/eV/f.u. The formation enthalpy at 0 K comes out at -0.335 eV/atom. The calculation puts the energy at -51.56 eV for the cell shown.

abc: 6.698 6.698 6.698
angles: 149.87 149.87 43.14
Last column: magnetic moment on the atom in μB.
Fractional positions:
U 0.354 0.354 0.000  1.01
C 0.829 0.829 0.000  -0.05
C 0.171 0.171 0.000  -0.05
Ir 0.000 0.000 0.000  -0.14
U 0.646 0.646 0.000  1.01

***

(4)
Entry from the Alexandria database: a relaxed structure of VIrC2 (GGA-PBE).

Calculated values
The total moment is 0.00 μB/f.u. As for the density of states at the Fermi level: 2.204 states/eV/f.u. The formation enthalpy at 0 K comes out at 0.418 eV/atom. The calculation puts the energy at -69.51 eV for the cell shown. As for the energy relative to the lowest polymorph listed for this composition: 0.0 kJ/mol of atoms.

abc: 4.526 4.526 5.683
angles: 66.53 66.53 90.00
Fractional positions:
C 0.127 0.625 0.250
C 0.875 0.873 0.750
Ir 0.750 0.250 0.500
C 0.375 0.377 0.750
V 0.250 0.750 0.500
C 0.623 0.125 0.250
V 0.500 0.500 0.000
Ir 0.000 0.000 0.000

***

(5)
Entry from the Alexandria database: a relaxed structure of V2IrC (GGA-PBE).

Calculated values
The total moment is 1.74 μB/f.u. As for the density of states at the Fermi level: 5.182 states/eV/f.u. The formation enthalpy at 0 K comes out at 0.721 eV/atom. The calculation puts the energy at -33.44 eV for the cell shown. As for the energy relative to the lowest polymorph listed for this composition: 120.5 kJ/mol of atoms.

abc: 4.115 4.115 4.115
angles: 60.00 60.00 60.00
Last column: magnetic moment on the atom in μB.
Fractional positions:
V 0.750 0.750 0.750  0.72
C 0.000 0.000 0.000  0.00
V 0.250 0.250 0.250  0.72
Ir 0.500 0.500 0.500  0.15

***

(6)
Entry from the Alexandria database: a relaxed structure of VIrC3 (GGA-PBE).

Calculated values
The total moment is 0.00 μB/f.u. As for the density of states at the Fermi level: 4.771 states/eV/f.u. The formation enthalpy at 0 K comes out at 2.213 eV/atom. The calculation puts the energy at -34.59 eV for the cell shown. As for the energy relative to the lowest polymorph listed for this composition: 11.7 kJ/mol of atoms.

abc: 3.853 3.853 3.853
angles: 90.00 90.00 90.00
Fractional positions:
C 0.500 0.000 0.000
Ir 0.500 0.500 0.500
V 0.000 0.000 0.000
C 0.000 0.500 0.000
C 0.000 0.000 0.500

***

(7)
Entry from the Alexandria database: a relaxed structure of V2IrC (GGA-PBE).

Calculated values
The total moment is 0.00 μB/f.u. As for the density of states at the Fermi level: 2.411 states/eV/f.u. The formation enthalpy at 0 K comes out at -0.528 eV/atom. The calculation puts the energy at -38.43 eV for the cell shown. As for the energy relative to the lowest polymorph listed for this composition: 0.0 kJ/mol of atoms.

abc: 2.858 2.858 6.770
angles: 77.81 77.81 60.00
Fractional positions:
V 0.276 0.276 0.173
V 0.058 0.058 0.825
C 0.667 0.667 0.999
Ir 0.499 0.499 0.503

***

(8)
Entry from the Alexandria database: a relaxed structure of V3IrC (GGA-PBE).

Calculated values
The total moment is 0.00 μB/f.u. As for the density of states at the Fermi level: 6.818 states/eV/f.u. The formation enthalpy at 0 K comes out at -0.370 eV/atom. The calculation puts the energy at -47.29 eV for the cell shown. As for the energy relative to the lowest polymorph listed for this composition: 0.0 kJ/mol of atoms.

abc: 3.954 3.954 3.954
angles: 90.00 90.00 90.00
Fractional positions:
C 0.000 0.000 0.000
Ir 0.500 0.500 0.500
V 0.500 0.000 0.000
V 0.000 0.000 0.500
V 0.000 0.500 0.000

***

(9)
Entry from the Alexandria database: a relaxed structure of V3IrC (GGA-PBE).

Calculated values
The total moment is 4.57 μB/f.u. As for the density of states at the Fermi level: 9.775 states/eV/f.u. The formation enthalpy at 0 K comes out at 2.091 eV/atom. The calculation puts the energy at -34.99 eV for the cell shown. As for the energy relative to the lowest polymorph listed for this composition: 237.4 kJ/mol of atoms.

abc: 4.646 4.646 4.646
angles: 90.00 90.00 90.00
Last column: magnetic moment on the atom in μB.
Fractional positions:
V 0.000 0.000 0.500  1.62
C 0.500 0.500 0.500  -0.43
Ir 0.000 0.000 0.000  -0.23
V 0.500 0.000 0.000  1.62
V 0.000 0.500 0.000  1.62

***

(10)
Entry from the Alexandria database: a relaxed structure of VIrC3 (GGA-PBE).

Calculated values
The total moment is 3.35 μB/f.u. As for the density of states at the Fermi level: 5.180 states/eV/f.u. The formation enthalpy at 0 K comes out at 2.092 eV/atom. The calculation puts the energy at -35.19 eV for the cell shown. As for the energy relative to the lowest polymorph listed for this composition: 0.0 kJ/mol of atoms.

abc: 3.955 3.955 3.955
angles: 90.00 90.00 90.00
Last column: magnetic moment on the atom in μB.
Fractional positions:
C 0.000 0.000 0.500  0.01
Ir 0.000 0.000 0.000  0.39
C 0.000 0.500 0.000  0.01
C 0.500 0.000 0.000  0.01
V 0.500 0.500 0.500  2.57

***

(11)
Entry from the Alexandria database: a relaxed structure of V2IrC (GGA-PBE).

Calculated values
The total moment is 0.00 μB/f.u. As for the density of states at the Fermi level: 3.092 states/eV/f.u. The formation enthalpy at 0 K comes out at -0.522 eV/atom. The calculation puts the energy at -38.41 eV for the cell shown. As for the energy relative to the lowest polymorph listed for this composition: 0.5 kJ/mol of atoms.

abc: 2.860 2.860 6.777
angles: 77.82 77.82 60.00
Fractional positions:
V 0.276 0.276 0.173
C 0.000 0.000 0.000
V 0.724 0.724 0.827
Ir 0.500 0.500 0.500

***

(12)
Entry from the Alexandria database: a relaxed structure of V2IrC (GGA-PBE).

Calculated values
The total moment is 0.00 μB/f.u. As for the density of states at the Fermi level: 3.657 states/eV/f.u. The formation enthalpy at 0 K comes out at 0.003 eV/atom. The calculation puts the energy at -72.62 eV for the cell shown. As for the energy relative to the lowest polymorph listed for this composition: 51.1 kJ/mol of atoms.

abc: 6.811 6.811 5.276
angles: 49.80 49.80 90.00
Fractional positions:
V 0.875 0.763 0.750
V 0.375 0.487 0.750
C 0.500 0.500 0.000
V 0.513 0.125 0.250
V 0.237 0.625 0.250
Ir 0.000 0.000 0.000
C 0.250 0.750 0.500
Ir 0.750 0.250 0.500

***

(13)
Entry from the Alexandria database: a relaxed structure of VIrC2 (GGA-PBE).

Calculated values
The total moment is 1.32 μB/f.u. As for the density of states at the Fermi level: 3.002 states/eV/f.u. The formation enthalpy at 0 K comes out at 0.947 eV/atom. The calculation puts the energy at -32.64 eV for the cell shown. As for the energy relative to the lowest polymorph listed for this composition: 51.0 kJ/mol of atoms.

abc: 3.760 3.760 3.760
angles: 60.00 60.00 60.00
Last column: magnetic moment on the atom in μB.
Fractional positions:
V 0.000 0.000 0.000  1.05
C 0.250 0.250 0.250  -0.05
C 0.750 0.750 0.750  -0.05
Ir 0.500 0.500 0.500  0.30